Entry from Alexandria via LeMat-Bulk: a geometry-optimized ZrZnNiIr structure (PBE).

Results
The raw total energy comes out at -6.64 eV/atom. The value obtained for the energy of formation from the pure elements is -0.5209 eV per atom. As for the crystal system: tetragonal.

a b c (Å): 4.130 4.130 7.180
angles (deg): 90.00 90.00 90.00
Space group I-4m2 (No. 119)
Inequivalent atoms, fractional coordinates:
Zr 0.000 0.000 0.000 x2
Zn 0.000 0.000 0.500 x2
Ni 0.000 0.500 0.250 x2
Ir 0.000 0.500 0.750 x2